Compound: TmThCrTc
Source: the Alexandria database
Functional: GGA-PBE
Structure: relaxed

a = 4.966 Å, b = 4.966 Å, c = 4.966 Å
α = 60.00°, β = 60.00°, γ = 60.00°
Site moments in Bohr magnetons follow the coordinates.
Fractional positions:
Cr: 0.750 0.750 0.750  3.04
Tc: 0.250 0.250 0.250  0.10
Tm: 0.000 0.000 0.000  -0.01
Th: 0.500 0.500 0.500  -0.05

Computed properties:
**Calculated volume**: 21.65 Å³/atom
**Total energy**: -0.578 Ry per atom
**Total magnetization**: 3.27 μB per formula unit

---

Compound: LaAlZn11
Source: the Alexandria database
Functional: GGA-PBE
Structure: relaxed

a = 5.299 Å, b = 6.894 Å, c = 6.905 Å
α = 81.46°, β = 67.44°, γ = 67.22°
Fractional positions:
Zn: 0.000 0.500 0.000
Zn: 0.500 0.000 0.500
Zn: 0.356 0.644 0.643
Zn: 0.274 0.221 0.225
Zn: 0.000 0.000 0.500
Zn: 0.501 0.779 0.225
Zn: 0.001 0.356 0.643
Zn: 0.644 0.356 0.357
Zn: 0.999 0.644 0.357
Zn: 0.499 0.221 0.775
Zn: 0.726 0.779 0.775
Al: 0.500 0.500 0.000
La: 0.000 0.000 0.000

Computed properties:
**Calculated volume**: 16.52 Å³/atom
**Total energy**: -0.142 Ry per atom
**Total magnetization**: 0.00 μB per formula unit

---

- What is the calculated volume in the second record?
  16.52 Å³/atom

---

- Which value of total energy does entry 2 give?
  -0.142 Ry per atom

---

- Among the records above, which one has the highest total magnetization?
  TmThCrTc